The following is a DFT calculation (PBE) of a geometry-optimized Hf6Ga3Bi structure.

Calculated values
The space group is Cmc2_1. Its formation energy is -13 kJ per mole of atoms. Its density of states at the Fermi level is 14.24 states/eV/cell.

a = 6.8668 Å, b = 8.2215 Å, c = 8.2215 Å
α = 109.91°, β = 90.00°, γ = 90.00°
Closest atoms and distances in Å follow each position.
Positions (direct):
1 Hf 0.1198 0.7567 0.6738  4 Ga 2.80-2.88, 2 Hf 3.01-3.04
2 Hf 0.6198 0.6738 0.7567  4 Ga 2.80-2.88, 2 Hf 3.01-3.04
3 Hf 0.2774 0.5116 0.9080  3 Ga 2.77-2.81, 1 Bi 3.01
4 Hf 0.7774 0.9080 0.5116  3 Ga 2.77-2.81, 1 Bi 3.01
5 Hf 0.2623 0.9719 0.0281  4 Ga 2.80, 1 Bi 2.84, 2 Hf 3.01
6 Hf 0.6360 0.2907 0.7093  3 Ga 2.92-2.94, 6 Hf 3.04-3.16, 1 Bi 3.11
7 Hf 0.1360 0.7093 0.2907  3 Ga 2.92-2.94, 6 Hf 3.04-3.16, 1 Bi 3.11
8 Hf 0.7623 0.0281 0.9719  4 Ga 2.80, 1 Bi 2.84, 2 Hf 3.01
9 Hf 0.2774 0.0920 0.4884  3 Ga 2.77-2.81, 1 Bi 3.01
10 Hf 0.7774 0.4884 0.0920  3 Ga 2.77-2.81, 1 Bi 3.01
11 Hf 0.1198 0.3262 0.2433  4 Ga 2.80-2.88, 2 Hf 3.01-3.04
12 Hf 0.6198 0.2433 0.3262  4 Ga 2.80-2.88, 2 Hf 3.01-3.04
13 Ga 0.4584 0.9768 0.7318  1 Ga 2.75, 7 Hf 2.77-2.92
14 Ga 0.9584 0.7318 0.9768  1 Ga 2.75, 7 Hf 2.77-2.92
15 Ga 0.3368 0.4465 0.5535  7 Hf 2.81-2.94
16 Ga 0.8368 0.5535 0.4465  7 Hf 2.81-2.94
17 Ga 0.9584 0.0232 0.2682  1 Ga 2.75, 7 Hf 2.77-2.92
18 Ga 0.4584 0.2682 0.0232  1 Ga 2.75, 7 Hf 2.77-2.92
19 Bi 0.0391 0.1851 0.8149  4 Hf 2.84-3.11
20 Bi 0.5391 0.8149 0.1851  4 Hf 2.84-3.11